[1]
TbZrCuRe: relaxed, PBE.

It has space group F-43m (No. 216), with a = 6.742 Å, b = 6.742 Å, c = 6.742 Å, α = 90.00°, β = 90.00° and γ = 90.00°. The distinct sites, in fractional coordinates, are Tb at (0.000, 0.000, 0.000), Zr at (0.000, 0.000, 0.500), Cu at (0.250, 0.250, 0.250) and Re at (0.250, 0.250, 0.750).

The value obtained for the total moment is 0.00 μB per cell. Its formation enthalpy at 0 K is -0.063 eV per atom. For the total energy, the calculation gives -119.906 eV for the cell shown. For the volume, the calculation gives 19.15 A^3/atom.

=====

[2]
HgH2Pd7Pb2: relaxed, PBE.

It has space group C2/m (No. 12), with a = 5.832 Å, b = 5.818 Å, c = 11.014 Å, α = 90.00°, β = 98.46° and γ = 90.00°. The distinct sites, in fractional coordinates, are Hg at (0.000, 0.000, 0.000), H at (0.034, 0.500, 0.177), Pd at (0.000, 0.500, 0.000), Pd at (0.117, 0.500, 0.384), Pd at (0.190, 0.248, 0.810) and Pb at (0.124, 0.000, 0.377).

The value obtained for the total moment is 0.00 μB per cell. For the total energy, the calculation gives -106.720 eV for the cell shown. For the volume, the calculation gives 15.40 A^3/atom.

=====

[3]
Pr2AlSiGe: relaxed, PBE.

It has space group P2_1/m (No. 11), with a = 7.366 Å, b = 4.157 Å, c = 8.914 Å, α = 90.00°, β = 107.63° and γ = 90.00°. The distinct sites, in fractional coordinates, are Pr at (0.174, 0.250, 0.413), Pr at (0.257, 0.250, 0.965), Al at (0.487, 0.750, 0.271), Si at (0.303, 0.750, 0.703) and Ge at (0.148, 0.750, 0.171).

The value obtained for the total moment is 0.00 μB per cell. As for the uncorrected formation energy: -0.5167 eV/atom. For the total energy, the calculation gives -51.850 eV for the cell shown. For the volume, the calculation gives 26.02 A^3/atom.

=====

[4]
CsCuPbF2: relaxed, PBE.

It has space group P4/mmm (No. 123), with a = 4.952 Å, b = 4.952 Å, c = 5.134 Å, α = 90.00°, β = 90.00° and γ = 90.00°. The distinct sites, in fractional coordinates, are Cs at (0.000, 0.000, 0.000), Cu at (0.500, 0.500, 0.000), Pb at (0.500, 0.500, 0.500) and F at (0.000, 0.500, 0.500).

The value obtained for the total moment is 0.00 μB per cell. As for the uncorrected formation energy: -1.4019 eV/atom. For the total energy, the calculation gives -19.410 eV for the cell shown. For the volume, the calculation gives 25.17 A^3/atom.

=====

Look up the total moment of the fourth one. 0.00 μB per cell